1.
This record from Alexandria describes an optimized crystal structure of HoErSc2In4. The functional is GGA-PBE.

abc: 8.9525 8.9525 8.9525
angles: 33.52 33.52 33.52
Sites, in units of the cell vectors:
Ho (0.0000, 0.0000, 0.0000)
Er (0.5000, 0.5000, 0.5000)
Sc (0.2499, 0.2499, 0.2499)
Sc (0.7501, 0.7501, 0.7501)
In (0.1251, 0.1251, 0.1251)
In (0.3752, 0.3752, 0.3752)
In (0.6248, 0.6248, 0.6248)
In (0.8749, 0.8749, 0.8749)

Output
Density = 7.51 g/cm³
Crystal system = trigonal
Calculated formation energy = -0.419 eV/atom

=====

2.
This record from Alexandria describes an optimized crystal structure of PrSm4Mg5. The functional is GGA-PBE.

abc: 3.8554 3.8554 19.3701
angles: 90.00 90.00 90.00
Sites, in units of the cell vectors:
Pr (0.0000, 0.0000, 0.0000)
Sm (0.0000, 0.0000, 0.2028)
Sm (0.0000, 0.0000, 0.4009)
Sm (0.0000, 0.0000, 0.5991)
Sm (0.0000, 0.0000, 0.7972)
Mg (0.5000, 0.5000, 0.1034)
Mg (0.5000, 0.5000, 0.3020)
Mg (0.5000, 0.5000, 0.5000)
Mg (0.5000, 0.5000, 0.6980)
Mg (0.5000, 0.5000, 0.8966)

Output
Density = 4.98 g/cm³
Crystal system = tetragonal
Calculated formation energy = -0.103 eV/atom

=====

3.
This record from Alexandria describes an optimized crystal structure of CrFe2Pb. The functional is GGA-PBE.

abc: 3.8551 3.8551 4.0093
angles: 90.00 90.00 90.00
Sites, in units of the cell vectors:
Cr (0.0000, 0.0000, 0.0000)
Fe (0.0000, 0.5000, 0.5000)
Fe (0.5000, 0.0000, 0.5000)
Pb (0.5000, 0.5000, 0.0000)

Output
Density = 10.34 g/cm³
Crystal system = tetragonal
Calculated formation energy = 0.551 eV/atom

=====

4.
This record from Alexandria describes an optimized crystal structure of ZnAsIr2. The functional is GGA-PBE.

abc: 4.3621 4.3621 4.3621
angles: 60.00 60.00 60.00
Sites, in units of the cell vectors:
Zn (0.0000, 0.0000, 0.0000)
As (0.5000, 0.5000, 0.5000)
Ir (0.2500, 0.2500, 0.2500)
Ir (0.7500, 0.7500, 0.7500)

Output
Density = 14.85 g/cm³
Crystal system = cubic
Calculated formation energy = 0.048 eV/atom

=====

5.
This record from Alexandria describes an optimized crystal structure of RbCr2Cu2Se6. The functional is GGA-PBE.

abc: 6.7271 6.9758 7.1356
angles: 67.76 63.64 63.85
Sites, in units of the cell vectors:
Rb (0.0000, 0.0000, 0.0000)
Cr (0.3386, 0.3353, 0.9815)
Cr (0.6614, 0.6647, 0.0185)
Cu (0.2663, 0.6313, 0.4073)
Cu (0.7337, 0.3687, 0.5927)
Se (0.0607, 0.5049, 0.7652)
Se (0.3920, 0.9363, 0.2454)
Se (0.4856, 0.6488, 0.7778)
Se (0.5144, 0.3512, 0.2222)
Se (0.6080, 0.0637, 0.7546)
Se (0.9393, 0.4951, 0.2348)

Output
Density = 5.00 g/cm³
E_form (uncorrected) = -3.80 eV per formula unit
Crystal system = triclinic

=====

6.
This record from Alexandria describes an optimized crystal structure of Hf2BeHIr. The functional is GGA-PBE.

abc: 4.8773 4.8773 3.0794
angles: 90.00 90.00 90.00
Sites, in units of the cell vectors:
Hf (0.0000, 0.5000, 0.0000)
Hf (0.5000, 0.0000, 0.0000)
Be (0.0000, 0.0000, 0.0000)
H (0.0000, 0.0000, 0.5000)
Ir (0.5000, 0.5000, 0.5000)

Output
Density = 12.68 g/cm³
Crystal system = tetragonal

=====

7.
This record from Alexandria describes an optimized crystal structure of KCoCu2Br6. The functional is GGA-PBE.

abc: 9.4424 9.4424 7.9823
angles: 108.36 108.36 83.63
Sites, in units of the cell vectors:
K (0.1751, 0.8249, 0.7500)
K (0.8249, 0.1751, 0.2500)
Co (0.1790, 0.8210, 0.2500)
Co (0.8210, 0.1790, 0.7500)
Cu (0.2618, 0.3627, 0.8243)
Cu (0.3627, 0.2618, 0.3243)
Cu (0.6373, 0.7382, 0.6757)
Cu (0.7382, 0.6373, 0.1757)
Br (0.0466, 0.1812, 0.6779)
Br (0.1595, 0.6087, 0.9903)
Br (0.1812, 0.0466, 0.1779)
Br (0.2659, 0.4287, 0.5584)
Br (0.3913, 0.8405, 0.5097)
Br (0.4287, 0.2659, 0.0584)
Br (0.5713, 0.7341, 0.9416)
Br (0.6087, 0.1595, 0.4903)
Br (0.7341, 0.5713, 0.4416)
Br (0.8188, 0.9534, 0.8221)
Br (0.8405, 0.3913, 0.0097)
Br (0.9534, 0.8188, 0.3221)

Output
Density = 3.65 g/cm³
E_form (uncorrected) = -5.67 eV per formula unit
Crystal system = monoclinic

=====

8.
This record from Alexandria describes an optimized crystal structure of Ac2PdPtO6. The functional is GGA-PBE.

abc: 5.8145 5.8145 4.2054
angles: 90.00 90.00 90.00
Sites, in units of the cell vectors:
Ac (0.0000, 0.5000, 0.0000)
Ac (0.5000, 0.0000, 0.0000)
Pd (0.0000, 0.0000, 0.5422)
Pt (0.5000, 0.5000, 0.5507)
O (0.0000, 0.0000, 0.0479)
O (0.2527, 0.2527, 0.6027)
O (0.2527, 0.7473, 0.6027)
O (0.5000, 0.5000, 0.0544)
O (0.7473, 0.2527, 0.6027)
O (0.7473, 0.7473, 0.6027)

Output
Density = 9.94 g/cm³
E_form (uncorrected) = -17.80 eV per formula unit
Crystal system = tetragonal

=====

Computed final energy, in the same sequence as the records: -36.113, -32.664, -28.055, -23.455, -53.116, -35.024, -64.199, -66.999 eV/cell.